# 1
PaFe2CoGe2: optimized geometry, GGA-PBE.

Results
Its volume is 16.534 Å³ per atom. As for the crystal system: tetragonal. The calculation puts the energy relative to the elements at 90 meV per atom.

Cell lengths 4.515, 4.515, 4.866 Å; angles 90.00, 90.00, 90.00 degrees
Fractional positions:
1 Pa 0.000 0.000 0.000
2 Fe 0.500 0.500 0.232
3 Fe 0.500 0.500 0.768
4 Co 0.000 0.000 0.500
5 Ge 0.000 0.500 0.500
6 Ge 0.500 0.000 0.500

---

# 2
PaFeCo2Ge2: optimized geometry, GGA-PBE.

Results
Its volume is 16.271 Å³ per atom. As for the crystal system: tetragonal. The calculation puts the energy relative to the elements at 23 meV per atom.

Cell lengths 4.527, 4.527, 4.764 Å; angles 90.00, 90.00, 90.00 degrees
Fractional positions:
1 Pa 0.000 0.000 0.000
2 Fe 0.000 0.000 0.500
3 Co 0.500 0.500 0.242
4 Co 0.500 0.500 0.758
5 Ge 0.000 0.500 0.500
6 Ge 0.500 0.000 0.500

---

# 3
Pa2FeCo3Ge4: optimized geometry, GGA-PBE.

Results
Its volume is 15.681 Å³ per atom. As for the crystal system: tetragonal. The calculation puts the energy relative to the elements at -522 meV per atom.

Cell lengths 4.054, 4.054, 9.539 Å; angles 90.00, 90.00, 90.00 degrees
Fractional positions:
1 Pa 0.000 0.500 0.242
2 Pa 0.500 0.000 0.758
3 Fe 0.500 0.500 0.000
4 Co 0.000 0.000 0.000
5 Co 0.000 0.500 0.628
6 Co 0.500 0.000 0.372
7 Ge 0.000 0.000 0.500
8 Ge 0.000 0.500 0.870
9 Ge 0.500 0.000 0.130
10 Ge 0.500 0.500 0.500

---

# 4
PaFeCoGe: optimized geometry, GGA-PBE.

Results
Its volume is 15.719 Å³ per atom. As for the crystal system: cubic. The calculation puts the energy relative to the elements at -203 meV per atom.

Cell lengths 4.463, 4.463, 4.463 Å; angles 60.00, 60.00, 60.00 degrees
Fractional positions:
1 Pa 0.000 0.000 0.000
2 Fe 0.750 0.750 0.750
3 Co 0.250 0.250 0.250
4 Ge 0.500 0.500 0.500

---

# 5
Pm2FeCo3Ge4: optimized geometry, GGA-PBE.

Results
Its volume is 16.371 Å³ per atom. As for the crystal system: tetragonal. The calculation puts the energy relative to the elements at -519 meV per atom.

Cell lengths 4.132, 4.132, 9.588 Å; angles 90.00, 90.00, 90.00 degrees
Fractional positions:
1 Pm 0.000 0.500 0.249
2 Pm 0.500 0.000 0.751
3 Fe 0.500 0.500 0.000
4 Co 0.000 0.000 0.000
5 Co 0.000 0.500 0.625
6 Co 0.500 0.000 0.375
7 Ge 0.000 0.000 0.500
8 Ge 0.000 0.500 0.874
9 Ge 0.500 0.000 0.126
10 Ge 0.500 0.500 0.500

---

# 6
Pu2FeCo3Ge4: optimized geometry, GGA-PBE.

Results
Its volume is 15.981 Å³ per atom. As for the crystal system: tetragonal. The calculation puts the energy relative to the elements at -361 meV per atom.

Cell lengths 4.074, 4.074, 9.627 Å; angles 90.00, 90.00, 90.00 degrees
Fractional positions:
1 Pu 0.000 0.500 0.248
2 Pu 0.500 0.000 0.752
3 Fe 0.500 0.500 0.000
4 Co 0.000 0.000 0.000
5 Co 0.000 0.500 0.628
6 Co 0.500 0.000 0.372
7 Ge 0.000 0.000 0.500
8 Ge 0.000 0.500 0.871
9 Ge 0.500 0.000 0.129
10 Ge 0.500 0.500 0.500

---

Number 1: E_tot -7.037 eV/atom. Number 2: E_tot -6.878 eV/atom. Number 3: E_tot -7.246 eV/atom. Number 4: E_tot -7.623 eV/atom. Number 5: E_tot -6.294 eV/atom. Number 6: E_tot -8.052 eV/atom.